[1]
Material: Ac2Mo2AuN6
Method: DFT, PBE
State: optimized geometry

Output
Energy relative to the elements, uncorrected (eV per atom): -0.613
Symmetry: P-1, No. 2
Calculated density (g cm⁻³): 6.835

abc: 7.053 6.874 7.567
angles: 115.58 89.59 48.86
Positions (direct):
Ac: 0.810 0.395 0.799
Ac: 0.190 0.605 0.201
Au: 0.500 0.000 0.500
Mo: 0.087 0.759 0.798
Mo: 0.913 0.241 0.202
N: 0.276 0.809 0.981
N: 0.142 0.437 0.773
N: 0.724 0.191 0.019
N: 0.146 0.782 0.579
N: 0.858 0.563 0.227
N: 0.854 0.218 0.421

[2]
Material: SrCd2PdPb
Method: DFT, PBE
State: optimized geometry

Output
Formation energy from the elements (meV/atom): -237.6
Symmetry: P4/mmm, No. 123
Excess energy over the best structure of this formula in the dataset (eV/atom): 0.0000
Calculated density (g cm⁻³): 7.073

abc: 5.245 5.245 5.343
angles: 90.00 90.00 90.00
Positions (direct):
Cd: 0.500 0.000 0.000
Cd: 0.000 0.500 0.000
Pd: 0.000 0.000 0.000
Pb: 0.000 0.000 0.500
Sr: 0.500 0.500 0.500

[3]
Material: Tb2YHg4
Method: DFT, PBE
State: optimized geometry

Output
Formation energy from the elements (meV/atom): -347.8
Symmetry: R-3m, No. 166
Excess energy over the best structure of this formula in the dataset (eV/atom): 0.0000
Calculated density (g cm⁻³): 10.216

abc: 5.100 5.100 9.209
angles: 73.93 73.93 60.00
Positions (direct):
Hg: 0.127 0.127 0.620
Hg: 0.873 0.873 0.380
Hg: 0.375 0.375 0.876
Hg: 0.625 0.625 0.124
Tb: 0.756 0.756 0.733
Tb: 0.244 0.244 0.267
Y: 0.000 0.000 0.000

[4]
Material: ScCoSi2
Method: DFT, PBE
State: optimized geometry

Output
Energy relative to the elements, uncorrected (eV per atom): -0.499
Symmetry: P2/m, No. 10
Calculated density (g cm⁻³): 4.449

abc: 3.975 3.053 4.922
angles: 89.90 90.00 90.00
Positions (direct):
Sc: 0.500 0.750 0.750
Co: 0.500 0.250 0.250
Si: 0.000 0.248 0.006
Si: 0.000 0.252 0.494